# 1
DFT (PBE) results for RbTe2Rh2 after structural relaxation.

Geometry as POSCAR:
```
RbTe2Rh2
1.0
4.206 0.000 0.000
0.000 4.206 0.000
2.103 2.103 7.540
Te Rb Rh
2 1 2
Cartesian
2.103 2.103 2.187
4.206 4.206 5.353
0.000 0.000 0.000
2.103 4.206 3.770
4.206 2.103 3.770
```

Properties
space-group type: I4/mmm, No. 139
E above lowest polymorph: 0.0 kJ per mole of atoms

# 2
DFT (PBE) results for Rb2Te2Rh after structural relaxation.

Geometry as POSCAR:
```
Rb2Te2Rh
1.0
-5.913 3.129 2.823
2.239 -1.788 6.671
2.929 5.171 0.403
Te Rb Rh
4 4 2
Cartesian
-3.532 1.774 2.900
-0.159 -0.123 2.732
-3.515 1.463 6.762
-0.141 -0.434 6.594
1.969 1.916 5.126
-0.617 3.185 7.640
-0.128 3.327 2.257
-2.714 4.596 4.771
0.000 0.000 0.000
-1.837 0.670 4.747
```

Properties
space-group type: P4/mbm, No. 127

| no. | total DFT energy (no corrections) (eV/cell) |
| --- | --- |
| 1 | -24.2 |
| 2 | -35.3 |